A relaxed TcTeAu2 crystal. Source: Alexandria via LeMat-Bulk, functional PBE.

Density of states at the Fermi level, states/eV per cell: 3.006
V, Å³ per cell: 85.8
VASP energy, eV/atom: -4.669
Formation energy without anion corrections, eV per atom: 0.3463

Cell: 6.8497 6.8497 6.8497 Å, 154.31 141.84 46.57°
Fractional coordinates of all 4 atoms:
Au 0.0287 0.0287 0.0000
Au 0.6755 0.1755 0.5000
Tc 0.4822 0.4822 0.0000
Te 0.3136 0.8136 0.5000

A relaxed Ca2TlPb crystal. Source: Alexandria via LeMat-Bulk, functional PBE.

Density of states at the Fermi level, states/eV per cell: 3.248
V, Å³ per cell: 130.7
Calculated formation energy, eV per atom: -0.245
VASP energy, eV/atom: -2.764

Cell: 4.3570 4.3570 6.8831 Å, 90.00 90.00 90.00°
Fractional coordinates of all 4 atoms:
Pb 0.0000 0.0000 0.4913
Tl 0.5000 0.5000 0.7593
Ca 0.0000 0.0000 0.9654
Ca 0.5000 0.5000 0.2840

A relaxed U2ReB6 crystal. Source: Alexandria via LeMat-Bulk, functional PBE.

Density of states at the Fermi level, states/eV per cell: 29.880
V, Å³ per cell: 384.4
Calculated formation energy, eV per atom: -0.566
VASP energy, eV/atom: -8.910

Cell: 3.6420 9.2823 11.3714 Å, 90.00 90.00 90.00°
Last column: magnetic moment on the atom in μB.
Fractional coordinates of all 36 atoms:
U 0.0000 0.3362 0.4075  0.95
U 0.0000 0.6638 0.5925  0.95
U 0.0000 0.8362 0.0925  0.95
U 0.0000 0.1638 0.9075  0.95
U 0.0000 0.9565 0.3953  0.08
U 0.0000 0.0435 0.6047  0.08
U 0.0000 0.4565 0.1047  0.08
U 0.0000 0.5435 0.8953  0.08
Re 0.0000 0.6443 0.3203  -0.03
Re 0.0000 0.3557 0.6797  -0.03
Re 0.0000 0.1443 0.1797  -0.03
Re 0.0000 0.8557 0.8203  -0.03
B 0.5000 0.5499 0.4330  -0.01
B 0.5000 0.4501 0.5670  -0.01
B 0.5000 0.0499 0.0670  -0.01
B 0.5000 0.9501 0.9330  -0.01
B 0.5000 0.7429 0.4237  0.00
B 0.5000 0.2571 0.5763  0.00
B 0.5000 0.2429 0.0763  0.00
B 0.5000 0.7571 0.9237  0.00
B 0.5000 0.8039 0.2729  0.00
B 0.5000 0.1961 0.7271  0.00
B 0.5000 0.3039 0.2271  0.00
B 0.5000 0.6961 0.7729  0.00
B 0.5000 0.6449 0.1880  0.00
B 0.5000 0.3551 0.8120  0.00
B 0.5000 0.1449 0.3120  0.00
B 0.5000 0.8551 0.6880  0.00
B 0.5000 0.9856 0.2189  -0.01
B 0.5000 0.0144 0.7811  -0.01
B 0.5000 0.4856 0.2811  -0.01
B 0.5000 0.5144 0.7189  -0.01
B 0.5000 0.6432 0.0395  -0.01
B 0.5000 0.3568 0.9605  -0.01
B 0.5000 0.1432 0.4605  -0.01
B 0.5000 0.8568 0.5395  -0.01

A relaxed Al2Rh crystal. Source: Alexandria via LeMat-Bulk, functional PBE.

Density of states at the Fermi level, states/eV per cell: 3.941
V, Å³ per cell: 363.6
Calculated formation energy, eV per atom: -0.806
VASP energy, eV/atom: -5.751

Cell: 8.0116 8.0116 8.0116 Å, 60.00 60.00 60.00°
Fractional coordinates of all 24 atoms:
Al 0.0000 0.5000 0.5000
Al 0.0000 0.5000 0.0000
Al 0.0000 0.0000 0.5000
Al 0.5000 0.5000 0.5000
Al 0.1751 0.6751 0.0749
Al 0.1751 0.0749 0.6751
Al 0.1751 0.0749 0.0749
Al 0.5749 0.6751 0.6751
Al 0.5749 0.6751 0.0749
Al 0.5749 0.0749 0.6751
Al 0.8249 0.3249 0.9251
Al 0.8249 0.9251 0.3249
Al 0.8249 0.9251 0.9251
Al 0.4251 0.3249 0.3249
Al 0.4251 0.3249 0.9251
Al 0.4251 0.9251 0.3249
Rh 0.1684 0.2772 0.2772
Rh 0.7772 0.6684 0.2772
Rh 0.7772 0.2772 0.6684
Rh 0.7772 0.2772 0.2772
Rh 0.8316 0.7228 0.7228
Rh 0.2228 0.3316 0.7228
Rh 0.2228 0.7228 0.3316
Rh 0.2228 0.7228 0.7228

A relaxed BaLaAu2 crystal. Source: Alexandria via LeMat-Bulk, functional PBE.

Density of states at the Fermi level, states/eV per cell: 3.669
V, Å³ per cell: 119.8
Calculated formation energy, eV per atom: -0.746
VASP energy, eV/atom: -4.097

Cell: 3.8878 3.9151 8.7925 Å, 63.58 90.00 90.00°
Fractional coordinates of all 4 atoms:
Au 0.0000 0.0438 0.9563
Au 0.0000 0.4562 0.5437
Ba 0.5000 0.2500 0.2500
La 0.5000 0.7500 0.7500

A relaxed ZrTlSi2F crystal. Source: Alexandria via LeMat-Bulk, functional PBE.

Density of states at the Fermi level, states/eV per cell: 2.920
V, Å³ per cell: 93.0
VASP energy, eV/atom: -4.770
Formation energy without anion corrections, eV per atom: -0.0436

Cell: 4.3921 4.8198 4.3921 Å, 90.00 90.00 90.00°
Fractional coordinates of all 5 atoms:
Tl 0.0000 0.5000 0.0000
Si 0.0000 0.0000 0.5000
Si 0.5000 0.0000 0.0000
Zr 0.5000 0.5000 0.5000
F 0.0000 0.0000 0.0000

A relaxed Ac3TmAs4 crystal. Source: Alexandria via LeMat-Bulk, functional PBE.

Density of states at the Fermi level, states/eV per cell: 1.650
V, Å³ per cell: 495.0
Calculated formation energy, eV per atom: -1.435
VASP energy, eV/atom: -5.859

Cell: 7.6876 7.6832 8.8917 Å, 90.00 90.00 109.53°
Fractional coordinates of all 16 atoms:
Ac 0.7500 0.0000 0.3717
Ac 0.2500 0.0000 0.6283
Ac 0.7500 0.5000 0.6290
Ac 0.7500 0.5000 0.1229
Ac 0.2500 0.5000 0.3710
Ac 0.2500 0.5000 0.8771
Tm 0.7500 0.0000 0.8780
Tm 0.2500 0.0000 0.1220
As 0.9896 0.2422 0.6346
As 0.5016 0.2309 0.8851
As 0.4896 0.2422 0.3654
As 0.0016 0.2309 0.1149
As 0.9984 0.7691 0.8851
As 0.5104 0.7578 0.6346
As 0.4984 0.7691 0.1149
As 0.0104 0.7578 0.3654

A relaxed MnCrFeMo2 crystal. Source: Alexandria via LeMat-Bulk, functional PBE.

Density of states at the Fermi level, states/eV per cell: 8.314
V, Å³ per cell: 80.4
Calculated formation energy, eV per atom: 1.469
VASP energy, eV/atom: -8.315

Cell: 4.4154 4.1216 4.4154 Å, 90.00 90.00 90.00°
Last column: magnetic moment on the atom in μB.
Fractional coordinates of all 5 atoms:
Cr 0.0000 0.0000 0.0000  -0.20
Mo 0.0000 0.0000 0.5000  -0.16
Mo 0.5000 0.0000 0.0000  -0.27
Mn 0.0000 0.5000 0.0000  1.72
Fe 0.5000 0.5000 0.5000  0.21

A relaxed Ni2OsRh crystal. Source: Alexandria via LeMat-Bulk, functional PBE.

Density of states at the Fermi level, states/eV per cell: 5.486
V, Å³ per cell: 50.6
Calculated formation energy, eV per atom: 0.132
VASP energy, eV/atom: -7.404

Cell: 4.5042 4.5042 2.6264 Å, 90.00 90.00 108.41°
Fractional coordinates of all 4 atoms:
Ni 0.0000 0.0000 0.0000
Ni 0.5000 0.5000 0.0000
Os 0.5000 0.0000 0.5000
Rh 0.0000 0.5000 0.5000

A relaxed TiPdPt2 crystal. Source: Alexandria via LeMat-Bulk, functional PBE.

Density of states at the Fermi level, states/eV per cell: 5.752
V, Å³ per cell: 132.9
Calculated formation energy, eV per atom: -0.419
VASP energy, eV/atom: -6.711

Cell: 2.7610 4.6232 10.4991 Å, 90.00 97.56 90.00°
Fractional coordinates of all 8 atoms:
Ti 0.7048 0.7500 0.4097
Ti 0.2952 0.2500 0.5903
Pd 0.9672 0.7500 0.9343
Pd 0.0328 0.2500 0.0657
Pt 0.8262 0.7500 0.6524
Pt 0.0981 0.7500 0.1963
Pt 0.1738 0.2500 0.3476
Pt 0.9019 0.2500 0.8037

A relaxed La2NbCrAs crystal. Source: Alexandria via LeMat-Bulk, functional PBE.

Density of states at the Fermi level, states/eV per cell: 5.835
V, Å³ per cell: 130.2
Calculated formation energy, eV per atom: 0.509
VASP energy, eV/atom: -6.330

Cell: 5.3193 4.6032 5.3193 Å, 90.00 90.00 90.00°
Last column: magnetic moment on the atom in μB.
Fractional coordinates of all 5 atoms:
Cr 0.0000 0.0000 0.0000  0.31
Nb 0.5000 0.5000 0.5000  2.51
As 0.0000 0.5000 0.0000  -0.03
La 0.0000 0.0000 0.5000  0.10
La 0.5000 0.0000 0.0000  0.10

A relaxed ZrOsBr2 crystal. Source: Alexandria via LeMat-Bulk, functional PBE.

Density of states at the Fermi level, states/eV per cell: 2.176
V, Å³ per cell: 100.0
VASP energy, eV/atom: -5.943
Formation energy without anion corrections, eV per atom: -0.1623

Cell: 9.7330 9.7330 9.7330 Å, 20.61 20.61 20.61°
Last column: magnetic moment on the atom in μB.
Fractional coordinates of all 4 atoms:
Os 0.4893 0.4893 0.4893  0.86
Br 0.0237 0.0237 0.0237  0.01
Br 0.2265 0.2265 0.2265  0.20
Zr 0.7605 0.7605 0.7605  -0.02

A relaxed Ag2C crystal. Source: Alexandria via LeMat-Bulk, functional PBE.

Density of states at the Fermi level, states/eV per cell: 4.473
V, Å³ per cell: 142.8
Calculated formation energy, eV per atom: 1.613
VASP energy, eV/atom: -3.363

Cell: 2.9797 2.9797 18.5777 Å, 90.00 90.00 120.00°
Fractional coordinates of all 9 atoms:
Ag 0.0000 0.0000 0.9222
Ag 0.0000 0.0000 0.0778
Ag 0.3333 0.6667 0.7355
Ag 0.6667 0.3333 0.2645
Ag 0.3333 0.6667 0.5847
Ag 0.6667 0.3333 0.4153
C 0.0000 0.0000 0.5000
C 0.3333 0.6667 0.8496
C 0.6667 0.3333 0.1504

A relaxed PmZrZnAg crystal. Source: Alexandria via LeMat-Bulk, functional PBE.

Density of states at the Fermi level, states/eV per cell: 3.300
V, Å³ per cell: 89.9
Calculated formation energy, eV per atom: -0.105
VASP energy, eV/atom: -4.461

Cell: 5.0289 5.0289 5.0289 Å, 60.00 60.00 60.00°
Last column: magnetic moment on the atom in μB.
Fractional coordinates of all 4 atoms:
Zn 0.0000 0.0000 0.0000  0.01
Zr 0.2500 0.2500 0.2500  0.54
Ag 0.5000 0.5000 0.5000  0.04
Pm 0.7500 0.7500 0.7500  0.20

A relaxed TbYTlGe crystal. Source: Alexandria via LeMat-Bulk, functional PBE.

Density of states at the Fermi level, states/eV per cell: 2.993
V, Å³ per cell: 101.5
Calculated formation energy, eV per atom: -0.442
VASP energy, eV/atom: -4.962

Cell: 5.2353 5.2353 5.2353 Å, 60.00 60.00 60.00°
Fractional coordinates of all 4 atoms:
Y 0.5000 0.5000 0.5000
Tl 0.7500 0.7500 0.7500
Tb 0.0000 0.0000 0.0000
Ge 0.2500 0.2500 0.2500

A relaxed CaNi6Sn2 crystal. Source: Alexandria via LeMat-Bulk, functional PBE.

Density of states at the Fermi level, states/eV per cell: 12.859
V, Å³ per cell: 144.5
Calculated formation energy, eV per atom: 0.033
VASP energy, eV/atom: -4.933

Cell: 3.6144 6.4435 7.2195 Å, 116.50 104.50 90.00°
Fractional coordinates of all 9 atoms:
Ca 0.0000 0.5000 0.0000
Ni 0.6826 0.8797 0.3653
Ni 0.3174 0.1203 0.6347
Ni 0.3174 0.5144 0.6347
Ni 0.5000 0.1751 0.0000
Ni 0.5000 0.8249 0.0000
Ni 0.6826 0.4856 0.3653
Sn 0.8636 0.8636 0.7272
Sn 0.1364 0.1364 0.2728

A relaxed KLi2Hg crystal. Source: Alexandria via LeMat-Bulk, functional PBE.

Density of states at the Fermi level, states/eV per cell: 2.382
V, Å³ per cell: 125.4
Calculated formation energy, eV per atom: -0.132
VASP energy, eV/atom: -1.439

Cell: 4.8071 4.8071 6.8534 Å, 69.47 69.47 60.00°
Fractional coordinates of all 4 atoms:
K 0.4944 0.4944 0.5168
Li 0.0160 0.0160 0.9521
Li 0.3057 0.3057 0.0828
Hg 0.6839 0.6839 0.9482

A relaxed TaCoW2 crystal. Source: Alexandria via LeMat-Bulk, functional PBE.

Density of states at the Fermi level, states/eV per cell: 3.531
V, Å³ per cell: 61.9
Calculated formation energy, eV per atom: 0.119
VASP energy, eV/atom: -11.098

Cell: 5.1380 5.2237 2.7351 Å, 79.96 79.75 116.44°
Last column: magnetic moment on the atom in μB.
Fractional coordinates of all 4 atoms:
Co 0.0000 0.5000 0.5000  1.18
Ta 0.5000 0.5000 0.0000  -0.02
W 0.0000 0.0000 0.0000  0.07
W 0.5000 0.0000 0.5000  0.07

A relaxed TaTiCd2 crystal. Source: Alexandria via LeMat-Bulk, functional PBE.

Density of states at the Fermi level, states/eV per cell: 9.294
V, Å³ per cell: 163.2
Calculated formation energy, eV per atom: 0.683
VASP energy, eV/atom: -4.711

Cell: 7.7181 7.7181 6.1068 Å, 50.81 50.81 90.00°
Fractional coordinates of all 8 atoms:
Cd 0.6186 0.1250 0.2500
Cd 0.1314 0.6250 0.2500
Cd 0.3750 0.3814 0.7500
Cd 0.8750 0.8686 0.7500
Ti 0.5000 0.5000 0.0000
Ti 0.2500 0.7500 0.5000
Ta 0.0000 0.0000 0.0000
Ta 0.7500 0.2500 0.5000

A relaxed SiH18C2N8O2F6 crystal. Source: Alexandria via LeMat-Bulk, functional PBE.

Density of states at the Fermi level, states/eV per cell: 0.000
V, Å³ per cell: 335.8
VASP energy, eV/atom: -5.592

Cell: 6.5543 6.7545 8.1417 Å, 110.22 96.69 89.20°
Fractional coordinates of all 37 atoms:
C 0.5253 0.7600 0.5198
C 0.4747 0.2400 0.4802
F 0.9632 0.0281 0.2127
F 0.0368 0.9719 0.7873
F 0.8680 0.7609 0.9239
F 0.1320 0.2391 0.0761
F 0.2277 0.8759 0.0242
F 0.7723 0.1241 0.9758
H 0.5425 0.9045 0.7868
H 0.4575 0.0955 0.2132
H 0.2926 0.8569 0.6732
H 0.7074 0.1431 0.3268
H 0.8322 0.8163 0.6183
H 0.1678 0.1837 0.3817
H 0.7755 0.6846 0.3889
H 0.2245 0.3154 0.6111
H 0.4694 0.6303 0.2531
H 0.5306 0.3697 0.7469
H 0.1281 0.5413 0.2999
H 0.8719 0.4587 0.7001
H 0.1269 0.7858 0.2981
H 0.8731 0.2142 0.7019
H 0.2489 0.5932 0.9205
H 0.7511 0.4068 0.0795
H 0.2229 0.3684 0.9362
H 0.7771 0.6316 0.0638
N 0.4474 0.8410 0.6727
N 0.5526 0.1590 0.3273
N 0.7276 0.7452 0.5114
N 0.2724 0.2548 0.4886
N 0.4003 0.6879 0.3667
N 0.5997 0.3121 0.6333
N 0.1865 0.6913 0.3657
N 0.8135 0.3087 0.6343
O 0.2699 0.4417 0.8614
O 0.7301 0.5583 0.1386
Si 0.0000 0.0000 0.0000

A relaxed ThTc4B4 crystal. Source: Alexandria via LeMat-Bulk, functional PBE.

Density of states at the Fermi level, states/eV per cell: 8.622
V, Å³ per cell: 236.0
Calculated formation energy, eV per atom: -0.424
VASP energy, eV/atom: -8.823

Cell: 4.1619 7.5301 7.5301 Å, 90.00 90.00 90.00°
Fractional coordinates of all 18 atoms:
Th 0.0000 0.0000 0.0000
Th 0.5000 0.5000 0.5000
Tc 0.3801 0.3593 0.8877
Tc 0.8801 0.6123 0.8593
Tc 0.3801 0.6407 0.1123
Tc 0.1199 0.1407 0.6123
Tc 0.6199 0.8877 0.6407
Tc 0.1199 0.8593 0.3877
Tc 0.8801 0.3877 0.1407
Tc 0.6199 0.1123 0.3593
B 0.6177 0.8312 0.2918
B 0.6177 0.1688 0.7082
B 0.1177 0.7918 0.6688
B 0.8823 0.3312 0.7918
B 0.8823 0.6688 0.2082
B 0.3823 0.2918 0.1688
B 0.3823 0.7082 0.8312
B 0.1177 0.2082 0.3312

A relaxed RbSrGe2W crystal. Source: Alexandria via LeMat-Bulk, functional PBE.

Density of states at the Fermi level, states/eV per cell: 6.410
V, Å³ per cell: 167.5
Calculated formation energy, eV per atom: 2.059
VASP energy, eV/atom: -2.908

Cell: 5.6337 5.2765 5.6337 Å, 90.00 90.00 90.00°
Last column: magnetic moment on the atom in μB.
Fractional coordinates of all 5 atoms:
Sr 0.5000 0.5000 0.5000  0.02
Ge 0.0000 0.0000 0.5000  -0.06
Ge 0.5000 0.0000 0.0000  -0.10
Rb 0.0000 0.0000 0.0000  0.07
W 0.0000 0.5000 0.0000  2.75